No. 1
# Gd2MnAu

A relaxed structure of Gd2MnAu (PBE-GGA, the Alexandria database).

Values from the calculation:
Energy above the most stable polymorph in this dataset ... 66 meV per atom
M_tot ... 4.436 μB/atom
ΔH_f (0 K) ... -199 meV per atom

a = 5.122 Å, b = 5.122 Å, c = 5.122 Å
α = 60.00°, β = 60.00°, γ = 60.00°
Last column: magnetic moment on the atom in μB.
Positions (direct):
Gd 0.250 0.250 0.250  -6.89
Gd 0.750 0.750 0.750  -6.89
Au 0.500 0.500 0.500  -0.01
Mn 0.000 0.000 0.000  -3.54


No. 2
# CaAc4Co

A relaxed structure of CaAc4Co (PBE-GGA, the Alexandria database).

Values from the calculation:
Energy above the most stable polymorph in this dataset ... 0 meV per atom
M_tot ... 0.000 μB/atom
ΔH_f (0 K) ... 25 meV per atom

a = 6.658 Å, b = 7.889 Å, c = 10.285 Å
α = 112.55°, β = 107.65°, γ = 90.00°
Positions (direct):
Ca 0.819 0.805 0.611
Ca 0.181 0.195 0.389
Ac 0.204 0.685 0.369
Ac 0.388 0.144 0.783
Ac 0.000 0.258 0.000
Ac 0.612 0.361 0.217
Ac 0.796 0.315 0.631
Ac 0.612 0.856 0.217
Ac 0.000 0.742 0.000
Ac 0.388 0.639 0.783
Co 0.342 0.527 0.054
Co 0.658 0.473 0.946


Number 1: DOS(E_F) 1.1854 states/eV per atom. Number 2: DOS(E_F) 1.3757 states/eV per atom.